Computed, not measured: crystalline Cs12Rb6As at its relaxed geometry at the PBE-GGA level of DFT.

The volume is 97.15 A^3/atom. The total energy is -1.144 eV per atom. The calculated density comes out at 1.96 g/cm³. The calculation puts the density of states at the Fermi level at 53.18 states/eV/cell.

Cell lengths 15.8034, 15.8034, 25.6024 Å; angles 90.00, 90.00, 120.00 degrees
Space group R-3m (No. 166, hexagonal axes)
One atom of each set of equivalent atoms:
Cs  0.1034  0.2069  0.4181
Cs  0.1083  0.5541  0.7508
Rb  0.1095  0.2189  0.7542
As  0.0000  0.0000  0.5000



Computed, not measured: crystalline Cs4Rb2As at its relaxed geometry at the PBE-GGA level of DFT.

The volume is 80.64 A^3/atom. Its relative energy among the computed polymorphs is 0.0 kJ per mole of atoms. The calculated density comes out at 2.29 g/cm³. The calculation puts the density of states at the Fermi level at 7.17 states/eV/cell.

Cell lengths 25.316, 5.802, 7.766 Å; angles 90.00, 98.22, 90.00 degrees
Space group C2/m (No. 12)
One atom of each set of equivalent atoms:
Cs  0.075  0.000  0.172
Cs  0.085  0.500  0.688
Rb  0.241  0.500  0.246
As  0.000  0.500  0.000



Q: volume of number 2 (Cs4Rb2As)?
A: 80.64 A^3/atom



Q: Which of these has the highest calculated density?
A: Cs4Rb2As